Density functional theory data (PBE-GGA) for a relaxed LaCePdPt crystal.

Unit cell a=5.1224 b=5.1224 c=5.1224 alpha=60.00 beta=60.00 gamma=60.00
With the nearest neighbours (Å) after each atom.
Fractional positions:
Pd 0.2500 0.2500 0.2500  4 La 3.14, 4 Ce 3.14
Pt 0.7500 0.7500 0.7500  4 La 3.14, 4 Ce 3.14
Ce 0.0000 0.0000 0.0000  4 Pd 3.14, 4 Pt 3.14
La 0.5000 0.5000 0.5000  4 Pd 3.14, 4 Pt 3.14

Computed properties:
* offset from the most stable computed form: 0.359 eV/f.u.
* M_tot: 0.99 μB per formula unit
* energy of formation: -0.85 eV per atom
* density of states at the Fermi level: 2.217 states/eV/atom